Computed, not measured: LuPuIr2 after structural relaxation at the GGA-PBE level of DFT.

Results
energy of formation from the pure elements	-0.66	eV per atom
raw total energy	-9.802	eV/atom

```
LuPuIr2
1.0
4.8024 0.0000 0.0000
2.4012 4.1590 0.0000
2.4012 1.3863 3.9211
Ir Pu Lu
2 1 1
direct
0.2500 0.2500 0.2500
0.7500 0.7500 0.7500
0.0000 0.0000 0.0000
0.5000 0.5000 0.5000
```



Computed, not measured: NaTe3Au2 after structural relaxation at the GGA-PBE level of DFT.

Results
raw total energy	-3.047	eV/atom
formation energy (no corrections)	-164	meV per atom

```
NaTe3Au2
1.0
4.2041 0.0000 0.0000
0.0000 6.4874 0.1593
-2.1020 -1.5389 12.8497
Na Te Au
2 6 4
direct
0.6561 0.9555 0.3122
0.3439 0.0445 0.6878
0.5817 0.4179 0.1634
0.9298 0.2095 0.8596
0.4183 0.5821 0.8366
0.7639 0.7574 0.5278
0.0702 0.7905 0.1404
0.2361 0.2426 0.4722
0.9625 0.8192 0.9249
0.3147 0.5693 0.6294
0.6853 0.4307 0.3706
0.0375 0.1808 0.0751
```



What is the raw total energy in the second record?
-3.047 eV/atom